(1)
Entry from Alexandria: a relaxed Na2CdGaB crystal (GGA-PBE).

Space group ... P4/mmm (123)
Uncorrected energy ... -10.79 eV per formula unit
Formation energy ... 494 meV per atom

Unit cell a=5.214 b=5.214 c=4.319 alpha=90.00 beta=90.00 gamma=90.00
Positions (direct):
Na  0.000  0.500  0.000
Na  0.500  0.000  0.000
Cd  0.000  0.000  0.500
Ga  0.500  0.500  0.500
B  0.000  0.000  0.000

=====

(2)
Entry from Alexandria: a relaxed AlTc2Ag crystal (GGA-PBE).

Space group ... P4mm (99)
Uncorrected energy ... -27.55 eV per formula unit
Formation energy ... -55 meV per atom

Unit cell a=2.952 b=2.952 c=7.083 alpha=90.00 beta=90.00 gamma=90.00
Positions (direct):
Al  0.000  0.000  0.000
Tc  0.000  0.000  0.447
Tc  0.500  0.500  0.234
Ag  0.500  0.500  0.745

=====

(3)
Entry from Alexandria: a relaxed Pr2Al12Co3Ir crystal (GGA-PBE).

Space group ... R-3m (166)
Uncorrected energy ... -83.34 eV per formula unit
Formation energy ... 73 meV per atom

Unit cell a=8.143 b=8.143 c=8.143 alpha=60.92 beta=60.92 gamma=60.92
Positions (direct):
Pr  0.111  0.111  0.111
Pr  0.889  0.889  0.889
Al  0.139  0.603  0.603
Al  0.175  0.175  0.581
Al  0.175  0.581  0.175
Al  0.397  0.397  0.861
Al  0.397  0.861  0.397
Al  0.419  0.825  0.825
Al  0.581  0.175  0.175
Al  0.603  0.139  0.603
Al  0.603  0.603  0.139
Al  0.825  0.419  0.825
Al  0.825  0.825  0.419
Al  0.861  0.397  0.397
Co  0.000  0.500  0.500
Co  0.500  0.000  0.500
Co  0.500  0.500  0.000
Ir  0.500  0.500  0.500

=====

(4)
Entry from Alexandria: a relaxed Sn12Hg5Bi3 crystal (GGA-PBE).

Space group ... Ia-3d (230)
Uncorrected energy ... -57.14 eV per formula unit
Formation energy ... 202 meV per atom

Unit cell a=15.606 b=15.606 c=15.606 alpha=109.47 beta=109.47 gamma=109.47
Positions (direct):
Sn  0.071  0.223  0.147
Sn  0.071  0.348  0.924
Sn  0.076  0.647  0.424
Sn  0.076  0.723  0.652
Sn  0.076  0.853  0.424
Sn  0.076  0.929  0.652
Sn  0.147  0.071  0.223
Sn  0.147  0.576  0.924
Sn  0.152  0.223  0.576
Sn  0.152  0.429  0.576
Sn  0.223  0.147  0.071
Sn  0.223  0.576  0.152
Sn  0.277  0.348  0.924
Sn  0.277  0.429  0.353
Sn  0.348  0.924  0.071
Sn  0.348  0.924  0.277
Sn  0.353  0.277  0.429
Sn  0.353  0.576  0.924
Sn  0.424  0.076  0.647
Sn  0.424  0.076  0.853
Sn  0.424  0.848  0.571
Sn  0.424  0.848  0.777
Sn  0.429  0.353  0.277
Sn  0.429  0.576  0.152
Sn  0.571  0.424  0.848
Sn  0.571  0.647  0.723
Sn  0.576  0.152  0.223
Sn  0.576  0.152  0.429
Sn  0.576  0.924  0.147
Sn  0.576  0.924  0.353
Sn  0.647  0.424  0.076
Sn  0.647  0.723  0.571
Sn  0.652  0.076  0.723
Sn  0.652  0.076  0.929
Sn  0.723  0.571  0.647
Sn  0.723  0.652  0.076
Sn  0.777  0.424  0.848
Sn  0.777  0.853  0.929
Sn  0.848  0.571  0.424
Sn  0.848  0.777  0.424
Sn  0.853  0.424  0.076
Sn  0.853  0.929  0.777
Sn  0.924  0.071  0.348
Sn  0.924  0.147  0.576
Sn  0.924  0.277  0.348
Sn  0.924  0.353  0.576
Sn  0.929  0.652  0.076
Sn  0.929  0.777  0.853
Hg  0.000  0.000  0.000
Hg  0.000  0.000  0.500
Hg  0.000  0.500  0.000
Hg  0.000  0.500  0.500
Hg  0.125  0.750  0.875
Hg  0.125  0.875  0.250
Hg  0.250  0.125  0.875
Hg  0.250  0.625  0.375
Hg  0.375  0.250  0.625
Hg  0.375  0.625  0.750
Hg  0.500  0.000  0.000
Hg  0.500  0.000  0.500
Hg  0.500  0.500  0.000
Hg  0.500  0.500  0.500
Hg  0.625  0.375  0.250
Hg  0.625  0.750  0.375
Hg  0.750  0.375  0.625
Hg  0.750  0.875  0.125
Hg  0.875  0.125  0.750
Hg  0.875  0.250  0.125
Bi  0.125  0.250  0.375
Bi  0.125  0.375  0.750
Bi  0.250  0.375  0.125
Bi  0.250  0.875  0.625
Bi  0.375  0.125  0.250
Bi  0.375  0.750  0.125
Bi  0.625  0.250  0.875
Bi  0.625  0.875  0.750
Bi  0.750  0.125  0.375
Bi  0.750  0.625  0.875
Bi  0.875  0.625  0.250
Bi  0.875  0.750  0.625

=====

(5)
Entry from Alexandria: a relaxed Cs2Ga2Au crystal (GGA-PBE).

Space group ... C2/m (12)
Uncorrected energy ... -11.49 eV per formula unit
Formation energy ... -90 meV per atom
ΔE to the lowest computed polymorph ... 0 meV/atom

Unit cell a=8.864 b=8.864 c=8.317 alpha=98.06 beta=98.06 gamma=137.39
Positions (direct):
Cs  0.004  0.702  0.709
Cs  0.298  0.996  0.291
Cs  0.702  0.004  0.709
Cs  0.996  0.298  0.291
Ga  0.201  0.201  0.999
Ga  0.384  0.384  0.766
Ga  0.616  0.616  0.234
Ga  0.799  0.799  0.001
Au  0.370  0.630  0.000
Au  0.630  0.370  0.000

=====

(6)
Entry from Alexandria: a relaxed Nd2CuNi3Pt12 crystal (GGA-PBE).

Space group ... R-3m (166)
Uncorrected energy ... -102.88 eV per formula unit
Formation energy ... 32 meV per atom

Unit cell a=7.799 b=7.799 c=7.799 alpha=62.75 beta=62.75 gamma=62.75
Positions (direct):
Nd  0.117  0.117  0.117
Nd  0.883  0.883  0.883
Cu  0.500  0.500  0.500
Ni  0.000  0.500  0.500
Ni  0.500  0.000  0.500
Ni  0.500  0.500  0.000
Pt  0.126  0.630  0.630
Pt  0.133  0.133  0.612
Pt  0.133  0.612  0.133
Pt  0.370  0.370  0.874
Pt  0.370  0.874  0.370
Pt  0.388  0.867  0.867
Pt  0.612  0.133  0.133
Pt  0.630  0.126  0.630
Pt  0.630  0.630  0.126
Pt  0.867  0.388  0.867
Pt  0.867  0.867  0.388
Pt  0.874  0.370  0.370

=====

(7)
Entry from Alexandria: a relaxed LiSm2Rh2 crystal (GGA-PBE).

Space group ... C2/c (15)
Uncorrected energy ... -28.93 eV per formula unit
Formation energy ... -574 meV per atom
ΔE to the lowest computed polymorph ... 27 meV/atom

Unit cell a=5.803 b=5.803 c=7.813 alpha=104.56 beta=104.56 gamma=56.00
Positions (direct):
Li  0.135  0.865  0.750
Li  0.865  0.135  0.250
Sm  0.203  0.503  0.350
Sm  0.497  0.797  0.150
Sm  0.503  0.203  0.850
Sm  0.797  0.497  0.650
Rh  0.013  0.723  0.990
Rh  0.277  0.987  0.510
Rh  0.723  0.013  0.490
Rh  0.987  0.277  0.010

=====

(8)
Entry from Alexandria: a relaxed LiMgMn2 crystal (GGA-PBE).

Space group ... C2/m (12)
Uncorrected energy ... -20.25 eV per formula unit
Formation energy ... 400 meV per atom

Unit cell a=5.384 b=5.384 c=2.785 alpha=100.55 beta=100.55 gamma=119.49
Positions (direct):
Li  0.000  0.000  0.000
Mg  0.500  0.500  0.000
Mn  0.000  0.500  0.500
Mn  0.500  0.000  0.500

=====

(9)
Entry from Alexandria: a relaxed H2Pd3Au2 crystal (GGA-PBE).

Space group ... P2/m (10)
Uncorrected energy ... -29.29 eV per formula unit
ΔE to the lowest computed polymorph ... 20 meV/atom

Unit cell a=4.512 b=2.823 c=7.395 alpha=90.00 beta=107.50 gamma=90.00
Positions (direct):
H  0.227  0.000  0.498
H  0.773  0.000  0.502
Pd  0.109  0.000  0.716
Pd  0.500  0.500  0.500
Pd  0.891  0.000  0.284
Au  0.304  0.500  0.109
Au  0.696  0.500  0.891

=====

(10)
Entry from Alexandria: a relaxed Ac2GeAu7 crystal (GGA-PBE).

Space group ... P-4m2 (115)
Uncorrected energy ... -40.89 eV per formula unit
Formation energy ... -512 meV per atom

Unit cell a=4.310 b=4.310 c=12.708 alpha=90.00 beta=90.00 gamma=90.00
Positions (direct):
Ac  0.000  0.500  0.249
Ac  0.500  0.000  0.751
Ge  0.000  0.000  0.500
Au  0.000  0.000  0.000
Au  0.000  0.500  0.641
Au  0.000  0.500  0.855
Au  0.500  0.000  0.145
Au  0.500  0.000  0.359
Au  0.500  0.500  0.000
Au  0.500  0.500  0.500

=====

(11)
Entry from Alexandria: a relaxed Pr12HoIn6 crystal (GGA-PBE).

Space group ... R-3 (148)
Uncorrected energy ... -82.95 eV per formula unit
Formation energy ... -241 meV per atom

Unit cell a=8.438 b=8.438 c=8.438 alpha=89.13 beta=89.13 gamma=89.13
Positions (direct):
Pr  0.071  0.126  0.383
Pr  0.126  0.383  0.071
Pr  0.191  0.474  0.565
Pr  0.383  0.071  0.126
Pr  0.435  0.809  0.526
Pr  0.474  0.565  0.191
Pr  0.526  0.435  0.809
Pr  0.565  0.191  0.474
Pr  0.617  0.929  0.874
Pr  0.809  0.526  0.435
Pr  0.874  0.617  0.929
Pr  0.929  0.874  0.617
Ho  0.000  0.000  0.000
In  0.121  0.745  0.269
In  0.255  0.731  0.879
In  0.269  0.121  0.745
In  0.731  0.879  0.255
In  0.745  0.269  0.121
In  0.879  0.255  0.731

=====

(12)
Entry from Alexandria: a relaxed Cs3Ho2MnTe6 crystal (GGA-PBE).

Space group ... C2/m (12)
Uncorrected energy ... -52.19 eV per formula unit
E_form (uncorrected) ... -1.038 eV per atom

Unit cell a=7.674 b=7.674 c=9.266 alpha=98.73 beta=98.73 gamma=118.35
Positions (direct):
Cs  0.000  0.000  0.000
Cs  0.324  0.676  0.000
Cs  0.676  0.324  0.000
Ho  0.162  0.838  0.500
Ho  0.838  0.162  0.500
Mn  0.500  0.500  0.500
Te  0.136  0.444  0.326
Te  0.235  0.235  0.698
Te  0.444  0.136  0.326
Te  0.556  0.864  0.674
Te  0.765  0.765  0.302
Te  0.864  0.556  0.674

=====

(13)
Entry from Alexandria: a relaxed SrYTc2 crystal (GGA-PBE).

Space group ... P4/mmm (123)
Uncorrected energy ... -25.52 eV per formula unit
Formation energy ... 840 meV per atom
ΔE to the lowest computed polymorph ... 581 meV/atom

Unit cell a=5.025 b=5.025 c=3.557 alpha=90.00 beta=90.00 gamma=90.00
Positions (direct):
Sr  0.000  0.000  0.000
Y  0.500  0.500  0.000
Tc  0.000  0.500  0.500
Tc  0.500  0.000  0.500

=====

(14)
Entry from Alexandria: a relaxed Ca3ZnAg2Au9 crystal (GGA-PBE).

Space group ... P-3m1 (164)
Uncorrected energy ... -47.07 eV per formula unit
Formation energy ... -306 meV per atom

Unit cell a=5.697 b=5.697 c=13.099 alpha=90.00 beta=90.00 gamma=120.00
Positions (direct):
Ca  0.000  0.000  0.000
Ca  0.333  0.667  0.768
Ca  0.667  0.333  0.232
Zn  0.000  0.000  0.500
Ag  0.333  0.667  0.173
Ag  0.667  0.333  0.827
Au  0.000  0.500  0.000
Au  0.167  0.334  0.345
Au  0.167  0.833  0.345
Au  0.334  0.167  0.655
Au  0.500  0.000  0.000
Au  0.500  0.500  0.000
Au  0.666  0.833  0.345
Au  0.833  0.167  0.655
Au  0.833  0.666  0.655

=====

(15)
Entry from Alexandria: a relaxed Tb4Er2Se9 crystal (GGA-PBE).

Space group ... P-1 (2)
Uncorrected energy ... -86.87 eV per formula unit
E_form (uncorrected) ... -1.857 eV per atom

Unit cell a=7.203 b=7.205 c=19.479 alpha=89.99 beta=89.98 gamma=60.02
Positions (direct):
Tb  0.166  0.167  0.181
Tb  0.166  0.167  0.985
Tb  0.167  0.166  0.484
Tb  0.168  0.166  0.681
Tb  0.832  0.834  0.319
Tb  0.833  0.834  0.516
Tb  0.834  0.833  0.015
Tb  0.834  0.833  0.819
Er  0.499  0.501  0.153
Er  0.500  0.499  0.347
Er  0.500  0.501  0.653
Er  0.501  0.499  0.847
Se  0.141  0.530  0.417
Se  0.143  0.828  0.917
Se  0.171  0.471  0.083
Se  0.172  0.858  0.583
Se  0.198  0.500  0.750
Se  0.198  0.803  0.250
Se  0.470  0.173  0.583
Se  0.470  0.858  0.083
Se  0.499  0.198  0.250
Se  0.501  0.802  0.750
Se  0.530  0.142  0.917
Se  0.530  0.827  0.417
Se  0.802  0.197  0.750
Se  0.802  0.500  0.250
Se  0.828  0.142  0.417
Se  0.829  0.529  0.917
Se  0.857  0.172  0.083
Se  0.859  0.470  0.583

=====

(16)
Entry from Alexandria: a relaxed Ce3YHo2N6 crystal (GGA-PBE).

Space group ... C2/m (12)
Uncorrected energy ... -102.60 eV per formula unit
E_form (uncorrected) ... -1.602 eV per atom

Unit cell a=6.085 b=6.085 c=6.093 alpha=99.59 beta=99.59 gamma=120.00
Positions (direct):
Ce  0.000  0.000  0.000
Ce  0.333  0.667  0.000
Ce  0.667  0.333  0.000
Y  0.500  0.500  0.500
Ho  0.167  0.833  0.500
Ho  0.833  0.167  0.500
N  0.082  0.418  0.253
N  0.247  0.247  0.747
N  0.418  0.082  0.253
N  0.582  0.918  0.747
N  0.753  0.753  0.253
N  0.918  0.582  0.747

=====

(17)
Entry from Alexandria: a relaxed KYAu4 crystal (GGA-PBE).

Space group ... F-43m (216)
Uncorrected energy ... -22.53 eV per formula unit
Formation energy ... -310 meV per atom

Unit cell a=5.731 b=5.731 c=5.731 alpha=60.00 beta=60.00 gamma=60.00
Positions (direct):
K  0.000  0.000  0.000
Y  0.750  0.750  0.750
Au  0.375  0.375  0.375
Au  0.375  0.375  0.875
Au  0.375  0.875  0.375
Au  0.875  0.375  0.375

=====

(18)
Entry from Alexandria: a relaxed Cr3Os crystal (GGA-PBE).

Space group ... P4/mmm (123)
Uncorrected energy ... -39.92 eV per formula unit
Formation energy ... 46 meV per atom

Unit cell a=2.881 b=2.881 c=5.959 alpha=90.00 beta=90.00 gamma=90.00
Positions (direct):
Cr  0.000  0.000  0.000
Cr  0.500  0.500  0.229
Cr  0.500  0.500  0.771
Os  0.000  0.000  0.500